[1]
ScCr4 | Alexandria via LeMat-Bulk | meta-GGA SCAN | single point on PBEsol structure; E_form = 30 kJ per mole of atoms; space-group type = I4/m, No. 87
1.0
6.6336 0.0000 0.0000
0.0000 6.6336 0.0000
0.0000 0.0000 2.8864
Sc Cr
2 8
Cartesian
0.0000 0.0000 0.0000
3.3168 3.3168 1.4432
0.7086 4.5132 1.4432
1.1964 2.6082 0.0000
2.1204 0.7086 1.4432
2.6082 5.4373 0.0000
4.0254 1.1964 0.0000
4.5132 5.9250 1.4432
5.4373 4.0254 0.0000
5.9250 2.1204 1.4432



[2]
ScCr | Alexandria via LeMat-Bulk | meta-GGA SCAN | single point on PBEsol structure; E_form = 44 kJ per mole of atoms; space-group type = R-3m, No. 166
1.0
2.9690 0.0000 0.0000
-1.4845 2.5712 0.0000
0.0000 0.0000 26.2079
Sc Cr
6 6
Cartesian
0.0000 0.0000 2.9175
0.0000 0.0000 23.2904
0.0000 1.7142 14.5544
0.0000 1.7142 20.3895
1.4845 0.8571 5.8184
1.4845 0.8571 11.6535
0.0000 0.0000 9.4789
0.0000 0.0000 16.7290
0.0000 1.7142 0.7429
0.0000 1.7142 7.9931
1.4845 0.8571 18.2148
1.4845 0.8571 25.4650



[3]
Sc2Cr | Alexandria via LeMat-Bulk | meta-GGA SCAN | single point on PBEsol structure; E_form = 30 kJ per mole of atoms; space-group type = P-3m1, No. 164
1.0
3.0700 0.0000 0.0000
-1.5350 2.6587 0.0000
0.0000 0.0000 7.0382
Sc Cr
2 1
Cartesian
0.0000 1.7725 2.0914
1.5350 0.8862 4.9468
0.0000 0.0000 0.0000



[4]
ScCr | Alexandria via LeMat-Bulk | meta-GGA SCAN | single point on PBEsol structure; E_form = 43 kJ per mole of atoms; space-group type = P-3m1, No. 164
1.0
2.9950 0.0000 0.0000
-1.4975 2.5937 0.0000
0.0000 0.0000 8.7047
Sc Cr
2 2
Cartesian
0.0000 1.7292 2.8983
1.4975 0.8646 5.8063
0.0000 1.7292 7.9717
1.4975 0.8646 0.7330



[5]
ScCr | Alexandria via LeMat-Bulk | meta-GGA SCAN | single point on PBEsol structure; E_form = 54 kJ per mole of atoms; space-group type = Fd-3m, No. 227
1.0
6.2752 0.0000 0.0000
0.0000 6.2752 0.0000
0.0000 0.0000 6.2752
Sc Cr
8 8
Cartesian
0.7844 0.7844 0.7844
0.7844 3.9220 3.9220
2.3532 2.3532 5.4908
2.3532 5.4908 2.3532
3.9220 0.7844 3.9220
3.9220 3.9220 0.7844
5.4908 2.3532 2.3532
5.4908 5.4908 5.4908
0.7844 0.7844 3.9220
0.7844 3.9220 0.7844
2.3532 2.3532 2.3532
2.3532 5.4908 5.4908
3.9220 0.7844 0.7844
3.9220 3.9220 3.9220
5.4908 2.3532 5.4908
5.4908 5.4908 2.3532



[6]
Sc2Cr | Alexandria via LeMat-Bulk | meta-GGA SCAN | single point on PBEsol structure; E_form = 21 kJ per mole of atoms; space-group type = I4/mcm, No. 140
1.0
7.2030 0.0000 0.0000
0.0000 7.2030 0.0000
0.0000 0.0000 4.4164
Sc Cr
8 4
Cartesian
1.1177 2.4839 0.0000
1.1177 4.7192 2.2082
2.4839 1.1177 2.2082
2.4839 6.0854 0.0000
4.7192 1.1177 0.0000
4.7192 6.0854 2.2082
6.0854 2.4839 2.2082
6.0854 4.7192 0.0000
0.0000 0.0000 1.1041
0.0000 0.0000 3.3123
3.6015 3.6015 1.1041
3.6015 3.6015 3.3123



[7]
ScCrSe | Alexandria via LeMat-Bulk | meta-GGA SCAN | single point on PBEsol structure; ΔE_f (raw) = -0.489 eV per atom; space-group type = I4mm, No. 107
1.0
3.3263 0.0000 0.0000
0.0000 3.3263 0.0000
0.0000 0.0000 9.2140
Sc Cr Se
2 2 2
Cartesian
0.0000 0.0000 0.0000
1.6632 1.6632 4.6070
0.0000 0.0000 2.9846
1.6632 1.6632 7.5915
0.0000 0.0000 6.1900
1.6632 1.6632 1.5830



[8]
ScCrSe2 | Alexandria via LeMat-Bulk | meta-GGA SCAN | single point on PBEsol structure; ΔE_f (raw) = -0.896 eV per atom; space-group type = I-4m2, No. 119
1.0
3.7126 0.0000 0.0000
0.0000 3.7126 0.0000
0.0000 0.0000 11.1762
Sc Cr Se
2 2 4
Cartesian
0.0000 0.0000 0.0000
1.8563 1.8563 5.5881
0.0000 1.8563 8.3821
1.8563 0.0000 2.7940
0.0000 0.0000 5.5881
0.0000 1.8563 2.7940
1.8563 0.0000 8.3821
1.8563 1.8563 0.0000



[9]
ScCr2Se | Alexandria via LeMat-Bulk | meta-GGA SCAN | single point on PBEsol structure; ΔE_f (raw) = 0.159 eV per atom; space-group type = Immm, No. 71
1.0
3.4763 0.0000 0.0000
0.0000 3.6075 0.0000
0.0000 0.0000 9.2173
Sc Cr Se
2 4 2
Cartesian
0.0000 0.0000 0.0000
1.7382 1.8037 4.6087
0.0000 1.8037 2.3001
0.0000 1.8037 6.9172
1.7382 0.0000 2.3086
1.7382 0.0000 6.9088
0.0000 0.0000 4.6087
1.7382 1.8037 0.0000



[10]
Sc2CrSe | Alexandria via LeMat-Bulk | meta-GGA SCAN | single point on PBEsol structure; ΔE_f (raw) = -0.452 eV per atom; space-group type = I-4m2, No. 119
1.0
3.8509 0.0000 0.0000
0.0000 3.8509 0.0000
0.0000 0.0000 9.6595
Sc Cr Se
4 2 2
Cartesian
0.0000 0.0000 0.0000
0.0000 1.9255 2.4149
1.9255 0.0000 7.2446
1.9255 1.9255 4.8298
0.0000 1.9255 7.2446
1.9255 0.0000 2.4149
0.0000 0.0000 4.8298
1.9255 1.9255 0.0000



[11]
ScTiCrSe2 | Alexandria via LeMat-Bulk | meta-GGA SCAN | single point on PBEsol structure; ΔE_f (raw) = -0.075 eV per atom; space-group type = P4/mmm, No. 123
1.0
4.7926 0.0000 0.0000
0.0000 4.7926 0.0000
0.0000 0.0000 4.1114
Sc Ti Cr Se
1 1 1 2
Cartesian
0.0000 0.0000 0.0000
2.3963 2.3963 0.0000
2.3963 2.3963 2.0557
0.0000 2.3963 2.0557
2.3963 0.0000 2.0557



[12]
Sc2Cr4Si5 | Alexandria via LeMat-Bulk | meta-GGA SCAN | single point on PBEsol structure; ΔE_f (raw) = -0.528 eV per atom; space-group type = Ibam, No. 72
1.0
-3.7403 7.9908 2.4156
3.7403 -7.9908 2.4156
3.7403 7.9908 -2.4156
Sc Cr Si
4 8 10
Cartesian
0.8862 2.2715 0.0000
4.6265 5.7193 0.0000
-0.8862 2.2715 2.4156
2.8541 5.7193 2.4156
3.7403 -3.0469 1.2078
5.5762 0.9955 0.0000
1.8359 6.9953 0.0000
3.7403 3.0469 1.2078
0.0000 4.9439 1.2078
1.9045 0.9955 2.4156
-1.8359 6.9953 2.4156
0.0000 11.0377 1.2078
3.1527 1.0192 0.0000
2.1841 -4.6174 2.4156
0.0000 0.0000 1.2078
2.1841 4.6174 0.0000
3.1527 -1.0192 2.4156
0.5876 9.0100 0.0000
1.5563 3.3734 2.4156
0.0000 0.0000 3.6234
1.5563 12.6082 0.0000
0.5876 6.9716 2.4156